Computed, not measured: a relaxed structure of HoZnPd at the PBE level of DFT.

Properties
The formation energy from the elements is -0.58 eV/atom. Its space group is No. 216. The calculation puts the energy at -0.31242 Ry/atom.

Lattice parameters (Å, degrees): 4.558 4.558 4.558 60.00 60.00 60.00
Positions (direct):
Ho  0.750  0.750  0.750
Pd  0.000  0.000  0.000
Zn  0.250  0.250  0.250

---

Computed, not measured: a relaxed structure of TlSb5Os3 at the PBE level of DFT.

Properties
Its space group is No. 191. The calculation puts the energy at -0.43616 Ry/atom.

Lattice parameters (Å, degrees): 5.667 5.667 8.108 90.00 90.00 120.00
Positions (direct):
Os  0.500  0.000  0.500
Os  0.000  0.500  0.500
Os  0.500  0.500  0.500
Sb  0.667  0.333  0.232
Sb  0.333  0.667  0.232
Sb  0.000  0.000  0.500
Sb  0.667  0.333  0.768
Sb  0.333  0.667  0.768
Tl  0.000  0.000  0.000

---

Computed, not measured: a relaxed structure of Sb2PdO6 at the PBE level of DFT.

Properties
Its space group is No. 162. The calculation puts the energy at -0.42678 Ry/atom.

Lattice parameters (Å, degrees): 5.269 5.269 4.546 90.00 90.00 120.00
Positions (direct):
O  0.355  0.000  0.264
O  0.000  0.355  0.264
O  0.645  0.645  0.264
O  0.645  0.000  0.736
O  0.355  0.355  0.736
O  0.000  0.645  0.736
Pd  0.000  0.000  0.000
Sb  0.667  0.333  0.500
Sb  0.333  0.667  0.500